# 1
Below is crystalline NaCo2Pd2 at its relaxed geometry, with properties calculated at the GGA-PBE level.

N(E_F) ... 1.009 states/eV/atom
DFT formation energy ... 0.1190 eV/atom
Crystal system ... tetragonal
Offset from the most stable computed form ... 0.000 eV per formula unit
Magnetic moment ... 4.17 μB per formula unit
DFT total energy ... -50.64 eV for the cell shown

Cell lengths 7.5693, 7.5693, 2.6606 Å; angles 90.00, 90.00, 90.00 degrees
Atoms (fractional coordinates):
Na 0.0000 0.0000 0.0000
Na 0.5000 0.5000 0.0000
Pd 0.3165 0.1835 0.5000
Pd 0.8165 0.3165 0.5000
Pd 0.1835 0.6835 0.5000
Pd 0.6835 0.8165 0.5000
Co 0.6079 0.1079 0.0000
Co 0.3921 0.8921 0.0000
Co 0.1079 0.3921 0.0000
Co 0.8921 0.6079 0.0000

=====

# 2
Below is crystalline CuPtAu2 at its relaxed geometry, with properties calculated at the GGA-PBE level.

N(E_F) ... 0.388 states/eV/atom
DFT formation energy ... 0.0285 eV/atom
Crystal system ... cubic
Offset from the most stable computed form ... 0.305 eV per formula unit
Magnetic moment ... 0.00 μB per formula unit
DFT total energy ... -16.58 eV for the cell shown

Cell lengths 4.5093, 4.5093, 4.5093 Å; angles 60.00, 60.00, 60.00 degrees
Atoms (fractional coordinates):
Cu 0.0000 0.0000 0.0000
Au 0.2500 0.2500 0.2500
Au 0.7500 0.7500 0.7500
Pt 0.5000 0.5000 0.5000

=====

# 3
Below is crystalline CrOsPb2 at its relaxed geometry, with properties calculated at the GGA-PBE level.

N(E_F) ... 1.262 states/eV/atom
DFT formation energy ... 0.9459 eV/atom
Crystal system ... tetragonal
Offset from the most stable computed form ... 2.177 eV per formula unit
Magnetic moment ... 3.66 μB per formula unit
DFT total energy ... -24.49 eV for the cell shown

Cell lengths 5.5530, 5.5530, 5.5530 Å; angles 136.29, 136.29, 63.53 degrees
Atoms (fractional coordinates):
Pb 0.2500 0.7500 0.5000
Pb 0.0000 0.0000 0.0000
Os 0.7500 0.2500 0.5000
Cr 0.5000 0.5000 0.0000

=====

# 4
Below is crystalline AlGeN2O at its relaxed geometry, with properties calculated at the GGA-PBE level.

N(E_F) ... 0.640 states/eV/atom
Crystal system ... tetragonal
Magnetic moment ... 0.55 μB per formula unit
DFT total energy ... -27.56 eV for the cell shown
ΔE_f (raw) ... 0.483 eV/atom

Cell lengths 3.7978, 3.7978, 3.6847 Å; angles 90.00, 90.00, 90.00 degrees
Atoms (fractional coordinates):
Ge 0.0000 0.0000 0.0000
N 0.0000 0.5000 0.0000
N 0.5000 0.0000 0.0000
O 0.0000 0.0000 0.5000
Al 0.5000 0.5000 0.5000

=====

# 5
Below is crystalline Th4RuRh3 at its relaxed geometry, with properties calculated at the GGA-PBE level.

N(E_F) ... 0.391 states/eV/atom
DFT formation energy ... -0.7947 eV/atom
Crystal system ... tetragonal
Magnetic moment ... 0.00 μB per formula unit
DFT total energy ... -67.37 eV for the cell shown

Cell lengths 5.7840, 5.7840, 7.0852 Å; angles 114.09, 114.09, 90.00 degrees
Atoms (fractional coordinates):
Rh 0.5000 0.5000 0.0000
Rh 0.2500 0.7500 0.5000
Rh 0.7500 0.2500 0.5000
Th 0.2461 0.2461 0.4922
Th 0.7539 0.7539 0.5078
Th 0.0000 0.5000 0.0000
Th 0.5000 0.0000 0.0000
Ru 0.0000 0.0000 0.0000

=====

# 6
Below is crystalline Ba2BeTeO at its relaxed geometry, with properties calculated at the GGA-PBE level.

N(E_F) ... 0.191 states/eV/atom
Crystal system ... tetragonal
Magnetic moment ... 0.00 μB per formula unit
DFT total energy ... -21.50 eV for the cell shown
ΔE_f (raw) ... -1.166 eV/atom

Cell lengths 5.8956, 3.7872, 5.8956 Å; angles 90.00, 90.00, 90.00 degrees
Atoms (fractional coordinates):
O 0.0000 0.0000 0.0000
Ba 0.5000 0.0000 0.0000
Ba 0.0000 0.0000 0.5000
Te 0.5000 0.5000 0.5000
Be 0.0000 0.5000 0.0000